# 1
# BaMn3

An optimized crystal structure of BaMn3 (PBEsol, Alexandria).

Unit cell a=3.1074 b=3.1074 c=7.7516 alpha=90.00 beta=90.00 gamma=90.00
Element x y z (fractional)
Ba  0.0000  0.0000  0.0000
Mn  0.0000  0.0000  0.5000
Mn  0.5000  0.5000  0.3396
Mn  0.5000  0.5000  0.6604

SG: P4/mmm
calculated formation energy: 2.9 eV per formula unit
calculated volume: 74.85 Å³ per cell
total magnetic moment: 3.9 μB per formula unit

# 2
# MgCr2Ag

An optimized crystal structure of MgCr2Ag (PBEsol, Alexandria).

Unit cell a=5.0639 b=5.0639 c=2.5677 alpha=90.00 beta=90.00 gamma=121.73
Element x y z (fractional)
Mg  0.0000  0.0000  0.0000
Cr  0.0000  0.5000  0.5000
Cr  0.5000  0.0000  0.5000
Ag  0.5000  0.5000  0.0000

SG: Cmmm
calculated formation energy: 2.6 eV per formula unit
calculated volume: 56.00 Å³ per cell
total magnetic moment: 0.0 μB per formula unit